Version a
Compound: Zn2AsP
Source: Alexandria via LeMat-Bulk
Functional: PBE
Structure: optimized geometry

```
Zn2AsP
1.0
-3.1270 -3.1388 2.4418
1.1221 -2.1681 -1.3500
3.2407 -0.5046 3.5015
Zn P As
2 1 1
direct
0.5000 0.5025 0.3749
0.0000 0.1426 0.8749
0.5000 0.1899 0.8753
0.0000 0.6650 0.3749
```

Computed properties:
DOS at the Fermi energy: 0.318 states/eV/atom
volume: 68 Å³/f.u.
SG: Pmm2



Version b
Compound: Zn2AsP
Source: Alexandria via LeMat-Bulk
Functional: PBE
Structure: optimized geometry

```
Zn2AsP
1.0
-1.0050 0.9277 3.3867
-3.5264 -0.9026 -0.7992
0.8607 -4.7385 1.5534
P As Zn
1 1 2
direct
0.0000 0.5000 0.5000
0.5000 0.5000 0.0000
0.0000 0.0000 0.0000
0.5000 0.0000 0.5000
```

Computed properties:
DOS at the Fermi energy: 0.539 states/eV/atom
volume: 69 Å³/f.u.
SG: Pmmm



Quick one: most stable of them? version a



Version a
Compound: TaZnCd
Source: Alexandria via LeMat-Bulk
Functional: PBE
Structure: optimized geometry

```
TaZnCd
1.0
-1.4461 2.5427 -0.1794
-1.3874 -2.5180 -0.5687
-1.8713 -0.5655 7.0691
Zn Ta Cd
1 1 1
direct
0.6667 0.3333 0.6603
0.3333 0.6667 0.3463
0.0000 0.0000 0.9934
```

Computed properties:
DOS at the Fermi energy: 0.703 states/eV/atom
volume: 55 Å³/f.u.
SG: P3m1



Version b
Compound: TaZnCd
Source: Alexandria via LeMat-Bulk
Functional: PBE
Structure: optimized geometry

```
TaZnCd
1.0
4.3564 0.0000 0.0000
2.1782 3.7727 0.0000
2.1782 1.2576 3.5570
Zn Cd Ta
1 1 1
direct
0.7500 0.7500 0.7500
0.0000 0.0000 0.0000
0.5000 0.5000 0.5000
```

Computed properties:
DOS at the Fermi energy: 0.924 states/eV/atom
volume: 58 Å³/f.u.
SG: F-43m



Quick one: most stable of them? version a



Version a
Compound: BaZn2Re
Source: Alexandria via LeMat-Bulk
Functional: PBE
Structure: optimized geometry

```
BaZn2Re
1.0
6.0890 0.0029 -0.0041
2.9635 5.3192 0.0041
-3.6655 -4.1252 2.5736
Zn Re Ba
2 1 1
direct
0.7826 0.2826 0.5000
0.0078 0.0078 0.0000
0.2156 0.7156 0.5000
0.4940 0.4940 0.0000
```

Computed properties:
DOS at the Fermi energy: 1.082 states/eV/atom
volume: 83 Å³/f.u.
SG: Imm2



Version b
Compound: BaZn2Re
Source: Alexandria via LeMat-Bulk
Functional: PBE
Structure: optimized geometry

```
BaZn2Re
1.0
-2.7264 0.5575 4.4358
3.9048 -2.2332 2.6806
1.2141 2.6229 0.4166
Re Zn Ba
1 2 1
direct
0.0000 0.5000 0.5000
0.0000 0.0000 0.0000
0.5000 0.5000 0.0000
0.5000 0.0000 0.5000
```

Computed properties:
DOS at the Fermi energy: 0.733 states/eV/atom
volume: 80 Å³/f.u.
SG: P4/mmm



Quick one: most stable of them? version a